Crystalline OsWBrCl2 at its relaxed geometry, computed with PBE.

Total moment ... 0.8771 μB per atom
Fermi-level density of states ... 7.04 states/eV/f.u.
Formation energy (no corrections) ... 2.547 eV per atom
Space group ... No. 123
Total DFT energy (no corrections) ... -3.36 eV/atom

Cell lengths 4.8260, 5.1317, 4.8260 Å; angles 90.00, 90.00, 90.00 degrees
Positions (direct):
Os  0.5000  0.5000  0.5000
Br  0.0000  0.0000  0.0000
W  0.0000  0.5000  0.0000
Cl  0.0000  0.0000  0.5000
Cl  0.5000  0.0000  0.0000



Crystalline KPrAl4 at its relaxed geometry, computed with PBE.

Total moment ... 0.0000 μB per atom
Fermi-level density of states ... 4.02 states/eV/f.u.
ΔE_f ... -0.124 eV per atom
Space group ... No. 216
Total DFT energy (no corrections) ... -3.60 eV/atom

Cell lengths 5.7838, 5.7838, 5.7838 Å; angles 60.00, 60.00, 60.00 degrees
Positions (direct):
Pr  0.0000  0.0000  0.0000
K  0.2500  0.2500  0.2500
Al  0.6259  0.6259  0.1222
Al  0.6259  0.1222  0.6259
Al  0.6259  0.6259  0.6259
Al  0.1222  0.6259  0.6259



Crystalline ThCu5Pd7 at its relaxed geometry, computed with PBE.

Total moment ... 0.0000 μB per atom
Fermi-level density of states ... 3.52 states/eV/f.u.
ΔE_f ... -0.373 eV per atom
Space group ... No. 44
Total DFT energy (no corrections) ... -5.32 eV/atom

Cell lengths 5.0627, 6.7595, 6.7595 Å; angles 80.95, 68.01, 68.01 degrees
Positions (direct):
Th  0.9935  0.0065  0.0065
Cu  0.5009  0.9960  0.5036
Cu  0.9996  0.9960  0.5036
Cu  0.5009  0.5036  0.9960
Cu  0.9996  0.5036  0.9960
Cu  0.7346  0.7654  0.7654
Pd  0.6516  0.3484  0.3484
Pd  0.3427  0.6573  0.6573
Pd  0.9983  0.3433  0.6600
Pd  0.9983  0.6600  0.3433
Pd  0.2719  0.2281  0.2281
Pd  0.5041  0.7925  0.1994
Pd  0.5041  0.1994  0.7925



Crystalline Ta2CrH8 at its relaxed geometry, computed with PBE.

Total moment ... 0.0000 μB per atom
Fermi-level density of states ... 2.40 states/eV/f.u.
Space group ... No. 71
Total DFT energy (no corrections) ... -5.43 eV/atom

Cell lengths 2.9290, 4.2998, 6.2553 Å; angles 110.10, 103.54, 90.00 degrees
Positions (direct):
Ta  0.1362  0.6362  0.2723
Ta  0.8638  0.3638  0.7277
Cr  0.5000  0.0000  0.0000
H  0.6284  0.9309  0.2569
H  0.3715  0.6740  0.7431
H  0.2466  0.2466  0.4931
H  0.0000  0.2337  0.0000
H  0.7534  0.7534  0.5069
H  0.6284  0.3260  0.2569
H  0.3715  0.0691  0.7431
H  0.0000  0.7663  0.0000



Crystalline BaCdSe at its relaxed geometry, computed with PBE.

Total moment ... 0.0000 μB per atom
Formation energy (no corrections) ... -0.913 eV per atom
Space group ... No. 107
Total DFT energy (no corrections) ... -3.02 eV/atom
E above lowest polymorph ... 216.4 meV per atom

Cell lengths 6.6421, 6.6419, 4.0815 Å; angles 72.11, 72.10, 35.79 degrees
Positions (direct):
Ba  0.0249  0.0249  0.9751
Cd  0.3167  0.3167  0.6833
Se  0.6584  0.6584  0.3416



Crystalline YP2Au at its relaxed geometry, computed with PBE.

Total moment ... 0.0000 μB per atom
Fermi-level density of states ... 1.74 states/eV/f.u.
ΔE_f ... -0.453 eV per atom
Space group ... No. 71
Total DFT energy (no corrections) ... -5.59 eV/atom
E above lowest polymorph ... 273.1 meV per atom

Cell lengths 4.8628, 4.8628, 4.8628 Å; angles 129.63, 108.23, 92.83 degrees
Positions (direct):
Au  0.7500  0.2500  0.5000
P  0.9500  0.9500  0.0000
P  0.5500  0.5500  0.0000
Y  0.2500  0.7500  0.5000



Crystalline Zn2FeTc at its relaxed geometry, computed with PBE.

Total moment ... 0.8383 μB per atom
Fermi-level density of states ... 1.74 states/eV/f.u.
ΔE_f ... 0.116 eV per atom
Space group ... No. 71
Total DFT energy (no corrections) ... -5.23 eV/atom
E above lowest polymorph ... 109.7 meV per atom

Cell lengths 4.7858, 4.7858, 4.7858 Å; angles 137.06, 132.01, 66.34 degrees
Positions (direct):
Fe  0.7500  0.2500  0.5000
Tc  0.2500  0.7500  0.5000
Zn  0.9959  0.9959  0.0000
Zn  0.5041  0.5041  0.0000



Crystalline La3GeP at its relaxed geometry, computed with PBE.

Total moment ... 0.0000 μB per atom
Fermi-level density of states ... 3.91 states/eV/f.u.
ΔE_f ... -0.628 eV per atom
Space group ... No. 221
Total DFT energy (no corrections) ... -5.59 eV/atom
E above lowest polymorph ... 344.1 meV per atom

Cell lengths 5.5169, 5.5169, 5.5169 Å; angles 90.00, 90.00, 90.00 degrees
Positions (direct):
P  0.0000  0.0000  0.0000
Ge  0.5000  0.5000  0.5000
La  0.0000  0.5000  0.0000
La  0.0000  0.0000  0.5000
La  0.5000  0.0000  0.0000